Record 1
Density functional theory data (GGA-PBE) for a relaxed structure of SrCdGa2Tc.

Results
The symmetry is P4/mmm, No. 123. The formation energy is -0.9 eV per formula unit. The value obtained for the volume is 125 Å³ per cell.

```
SrCdGa2Tc
1.0
4.8711 0.0000 0.0000
0.0000 4.8711 0.0000
0.0000 0.0000 5.2522
Sr Cd Ga Tc
1 1 2 1
Direct
0.0000 0.0000 0.0000
0.5000 0.5000 0.0000
0.0000 0.5000 0.5000
0.5000 0.0000 0.5000
0.5000 0.5000 0.5000
```

***

Record 2
Density functional theory data (GGA-PBE) for a relaxed structure of Sr2CdGaTe5.

Results
For the formation energy from raw total energies, the calculation gives -0.864 eV/atom. The symmetry is Cmc2_1, No. 36. The value obtained for the volume is 602 Å³ per cell.

```
Sr2CdGaTe5
1.0
2.1738 -10.5165 0.0000
2.1738 10.5165 0.0000
0.0000 0.0000 13.1656
Sr Cd Ga Te
4 2 2 10
Direct
0.1122 0.8878 0.5000
0.1178 0.8822 0.1263
0.8822 0.1178 0.6263
0.8878 0.1122 0.0000
0.2346 0.7654 0.8552
0.7654 0.2346 0.3552
0.4305 0.5695 0.2720
0.5695 0.4305 0.7720
0.0460 0.9540 0.8861
0.2763 0.7237 0.5108
0.3076 0.6924 0.2094
0.3676 0.6324 0.8167
0.4930 0.5070 0.0994
0.5070 0.4930 0.5994
0.6324 0.3676 0.3167
0.6924 0.3076 0.7094
0.7237 0.2763 0.0108
0.9540 0.0460 0.3861
```

***

Record 3
Density functional theory data (GGA-PBE) for a relaxed structure of SrTi2CdGa.

Results
The symmetry is P4/mmm, No. 123. The formation energy is 2.2 eV per formula unit. The value obtained for the volume is 132 Å³ per cell.

```
SrTi2CdGa
1.0
5.0547 0.0000 0.0000
0.0000 5.0547 0.0000
0.0000 0.0000 5.1574
Sr Ti Cd Ga
1 2 1 1
Direct
0.0000 0.0000 0.0000
0.0000 0.5000 0.5000
0.5000 0.0000 0.5000
0.5000 0.5000 0.0000
0.5000 0.5000 0.5000
```

***

Record 4
Density functional theory data (GGA-PBE) for a relaxed structure of Sr2TlCd4Ga3.

Results
The symmetry is P-4m2, No. 115. The formation energy is -2.6 eV per formula unit. The value obtained for the volume is 259 Å³ per cell.

```
Sr2TlCd4Ga3
1.0
4.7010 0.0000 0.0000
0.0000 4.7010 0.0000
0.0000 0.0000 11.7375
Sr Tl Cd Ga
2 1 4 3
Direct
0.0000 0.5000 0.2412
0.5000 0.0000 0.7588
0.0000 0.0000 0.5000
0.0000 0.0000 0.0000
0.0000 0.5000 0.6457
0.5000 0.0000 0.3543
0.5000 0.5000 0.0000
0.0000 0.5000 0.8708
0.5000 0.0000 0.1292
0.5000 0.5000 0.5000
```

***

Record 5
Density functional theory data (GGA-PBE) for a relaxed structure of SrYCdGa.

Results
The symmetry is F-43m, No. 216. The formation energy is -1.4 eV per formula unit. The value obtained for the volume is 111 Å³ per cell.

```
SrYCdGa
1.0
0.0000 3.8109 3.8109
3.8109 0.0000 3.8109
3.8109 3.8109 0.0000
Sr Y Cd Ga
1 1 1 1
Direct
0.0000 0.0000 0.0000
0.5000 0.5000 0.5000
0.7500 0.7500 0.7500
0.2500 0.2500 0.2500
```

***

Record 6
Density functional theory data (GGA-PBE) for a relaxed structure of Sr2ZnCd3Ga4.

Results
The symmetry is P-4m2, No. 115. The formation energy is -2.9 eV per formula unit. The value obtained for the volume is 238 Å³ per cell.

```
Sr2ZnCd3Ga4
1.0
4.5506 0.0000 0.0000
0.0000 4.5506 0.0000
0.0000 0.0000 11.5043
Sr Zn Cd Ga
2 1 3 4
Direct
0.0000 0.5000 0.2434
0.5000 0.0000 0.7566
0.5000 0.5000 0.0000
0.0000 0.0000 0.0000
0.0000 0.5000 0.6389
0.5000 0.0000 0.3611
0.0000 0.0000 0.5000
0.0000 0.5000 0.8718
0.5000 0.0000 0.1282
0.5000 0.5000 0.5000
```

***

Record 7
Density functional theory data (GGA-PBE) for a relaxed structure of Sr2Zn4Cd3Ga.

Results
The symmetry is P-4m2, No. 115. The formation energy is -2.3 eV per formula unit. The value obtained for the volume is 233 Å³ per cell.

```
Sr2Zn4Cd3Ga
1.0
4.4403 0.0000 0.0000
0.0000 4.4403 0.0000
0.0000 0.0000 11.8390
Sr Zn Cd Ga
2 4 3 1
Direct
0.0000 0.5000 0.2428
0.5000 0.0000 0.7572
0.0000 0.0000 0.5000
0.0000 0.5000 0.8681
0.5000 0.0000 0.1319
0.5000 0.5000 0.5000
0.0000 0.0000 0.0000
0.0000 0.5000 0.6396
0.5000 0.0000 0.3604
0.5000 0.5000 0.0000
```

***

Record 8
Density functional theory data (GGA-PBE) for a relaxed structure of Sr2Zn3Cd4Ga.

Results
The symmetry is P-4m2, No. 115. The formation energy is -2.4 eV per formula unit. The value obtained for the volume is 241 Å³ per cell.

```
Sr2Zn3Cd4Ga
1.0
4.4954 0.0000 0.0000
0.0000 4.4954 0.0000
0.0000 0.0000 11.9414
Sr Zn Cd Ga
2 3 4 1
Direct
0.0000 0.5000 0.2482
0.5000 0.0000 0.7518
0.0000 0.0000 0.0000
0.0000 0.5000 0.6410
0.5000 0.0000 0.3590
0.0000 0.0000 0.5000
0.0000 0.5000 0.8653
0.5000 0.0000 0.1347
0.5000 0.5000 0.5000
0.5000 0.5000 0.0000
```